No. 1
# Ca2Ta2MnO8 | the Alexandria database | meta-GGA SCAN | PBEsol geometry
# - DOS(E_F) (states/eV/f.u.) = 0.0
# - space-group type = C2/c, No. 15
data_Ca2Ta2MnO8
_chemical_formula_sum 'Ca4 Ta4 Mn2 O16'
_cell_length_a 5.416
_cell_length_b 6.320
_cell_length_c 9.926
_cell_angle_alpha 108.56
_cell_angle_beta 91.89
_cell_angle_gamma 90.00
_symmetry_space_group_name_H-M 'P 1'
_symmetry_Int_Tables_number 1
_symmetry_space_group_name_Hall 'P 1'
loop_
_atom_site_label
_atom_site_fract_x
_atom_site_fract_y
_atom_site_fract_z
O1 0.504 0.876 0.635
O2 0.585 0.707 0.114
O3 0.588 0.195 0.141
O4 0.088 0.946 0.141
O5 0.004 0.759 0.635
O6 0.496 0.124 0.365
O7 0.160 0.161 0.629
O8 0.340 0.532 0.371
O9 0.840 0.839 0.371
O10 0.996 0.241 0.365
O11 0.415 0.293 0.886
O12 0.660 0.468 0.629
O13 0.412 0.805 0.859
O14 0.085 0.407 0.114
O15 0.912 0.054 0.859
O16 0.915 0.593 0.886
Mn1 0.250 0.640 0.000
Mn2 0.750 0.360 0.000
Ca1 0.256 0.469 0.583
Ca2 0.744 0.531 0.417
Ca3 0.244 0.885 0.417
Ca4 0.756 0.115 0.583
Ta1 0.246 0.034 0.775
Ta2 0.746 0.741 0.775
Ta3 0.754 0.966 0.225
Ta4 0.254 0.259 0.225


No. 2
# CaTbMn2O6 | the Alexandria database | meta-GGA SCAN | PBEsol geometry
# - DOS(E_F) (states/eV/f.u.) = 1.5
# - space-group type = Pmn2_1, No. 31
data_CaTbMn2O6
_chemical_formula_sum 'Ca2 Tb2 Mn4 O12'
_cell_length_a 5.240
_cell_length_b 5.405
_cell_length_c 7.463
_cell_angle_alpha 90.00
_cell_angle_beta 90.00
_cell_angle_gamma 90.00
_symmetry_space_group_name_H-M 'P 1'
_symmetry_Int_Tables_number 1
_symmetry_space_group_name_Hall 'P 1'
loop_
_atom_site_label
_atom_site_fract_x
_atom_site_fract_y
_atom_site_fract_z
O1 0.210 0.461 0.793
O2 0.299 0.952 0.796
O3 0.210 0.461 0.207
O4 0.799 0.048 0.296
O5 0.710 0.539 0.293
O6 0.799 0.048 0.704
O7 0.578 0.273 0.000
O8 0.078 0.727 0.500
O9 0.710 0.539 0.707
O10 0.409 0.231 0.500
O11 0.299 0.952 0.204
O12 0.909 0.769 0.000
Mn1 0.999 0.754 0.750
Mn2 0.499 0.246 0.250
Mn3 0.499 0.246 0.750
Mn4 0.999 0.754 0.250
Tb1 0.985 0.311 0.500
Tb2 0.485 0.689 0.000
Ca1 0.011 0.199 0.000
Ca2 0.511 0.801 0.500


No. 3
# CaTi2MnO6 | the Alexandria database | meta-GGA SCAN | PBEsol geometry
# - space-group type = P4_2mc, No. 105
data_CaTi2MnO6
_chemical_formula_sum 'Ca4 Ti8 Mn4 O24'
_cell_length_a 7.478
_cell_length_b 7.478
_cell_length_c 7.575
_cell_angle_alpha 90.00
_cell_angle_beta 90.00
_cell_angle_gamma 90.00
_symmetry_space_group_name_H-M 'P 1'
_symmetry_Int_Tables_number 1
_symmetry_space_group_name_Hall 'P 1'
loop_
_atom_site_label
_atom_site_fract_x
_atom_site_fract_y
_atom_site_fract_z
O1 0.500 0.692 0.804
O2 0.193 0.308 0.019
O3 0.308 0.193 0.519
O4 0.000 0.701 0.335
O5 0.701 0.000 0.835
O6 0.192 0.000 0.234
O7 0.692 0.500 0.304
O8 0.308 0.500 0.304
O9 0.807 0.692 0.019
O10 0.808 0.000 0.234
O11 0.000 0.299 0.335
O12 0.308 0.807 0.519
O13 0.807 0.308 0.019
O14 0.500 0.206 0.194
O15 0.299 0.000 0.835
O16 0.206 0.500 0.694
O17 0.500 0.308 0.804
O18 0.000 0.808 0.734
O19 0.500 0.794 0.194
O20 0.692 0.193 0.519
O21 0.794 0.500 0.694
O22 0.193 0.692 0.019
O23 0.692 0.807 0.519
O24 0.000 0.192 0.734
Mn1 0.000 0.500 0.518
Mn2 0.000 0.500 0.068
Mn3 0.500 0.000 0.568
Mn4 0.500 0.000 0.018
Ti1 0.754 0.743 0.780
Ti2 0.246 0.743 0.780
Ti3 0.257 0.754 0.280
Ti4 0.743 0.754 0.280
Ti5 0.754 0.257 0.780
Ti6 0.257 0.246 0.280
Ti7 0.246 0.257 0.780
Ti8 0.743 0.246 0.280
Ca1 0.500 0.500 0.049
Ca2 0.000 0.000 0.495
Ca3 0.500 0.500 0.549
Ca4 0.000 0.000 0.995


No. 4
# Ca8Ti3Mn5O24 | the Alexandria database | meta-GGA SCAN | PBEsol geometry
# - DOS(E_F) (states/eV/f.u.) = 0.3
# - space-group type = P4/mmm, No. 123
data_Ca8Ti3Mn5O24
_chemical_formula_sum 'Ca8 Ti3 Mn5 O24'
_cell_length_a 7.511
_cell_length_b 7.548
_cell_length_c 7.548
_cell_angle_alpha 90.00
_cell_angle_beta 90.00
_cell_angle_gamma 90.00
_symmetry_space_group_name_H-M 'P 1'
_symmetry_Int_Tables_number 1
_symmetry_space_group_name_Hall 'P 1'
loop_
_atom_site_label
_atom_site_fract_x
_atom_site_fract_y
_atom_site_fract_z
O1 0.500 0.500 0.750
O2 0.000 0.251 0.000
O3 0.000 0.500 0.745
O4 0.251 0.500 0.500
O5 0.744 0.500 0.000
O6 0.500 0.000 0.750
O7 0.500 0.750 0.500
O8 0.256 0.000 0.500
O9 0.256 0.500 0.000
O10 0.749 0.500 0.500
O11 0.500 0.000 0.250
O12 0.500 0.250 0.500
O13 0.000 0.749 0.000
O14 0.500 0.750 0.000
O15 0.500 0.500 0.250
O16 0.744 0.000 0.500
O17 0.000 0.500 0.255
O18 0.000 0.000 0.251
O19 0.256 0.000 0.000
O20 0.000 0.255 0.500
O21 0.000 0.000 0.749
O22 0.000 0.745 0.500
O23 0.500 0.250 0.000
O24 0.744 0.000 0.000
Mn1 0.000 0.500 0.500
Mn2 0.500 0.500 0.000
Mn3 0.500 0.500 0.500
Mn4 0.500 0.000 0.500
Mn5 0.500 0.000 0.000
Ti1 0.000 0.000 0.500
Ti2 0.000 0.000 0.000
Ti3 0.000 0.500 0.000
Ca1 0.257 0.252 0.252
Ca2 0.743 0.748 0.748
Ca3 0.743 0.252 0.252
Ca4 0.257 0.748 0.748
Ca5 0.743 0.748 0.252
Ca6 0.743 0.252 0.748
Ca7 0.257 0.748 0.252
Ca8 0.257 0.252 0.748


Table of formation energy (no corrections) (meV/atom), in record order: -3018; -2923; -3144; -2935